# 1
The following is a PBE calculation of a geometry-optimized BaTlP2S structure, from Alexandria via LeMat-Bulk.

abc: 5.1548 5.1548 5.3922
angles: 90.00 90.00 90.00
With the nearest neighbours (Å) after each atom.
Sites, in units of the cell vectors:
Ba (0.0000, 0.0000, 0.0000)  4 S 3.65, 8 P 3.73
Tl (0.5000, 0.5000, 0.5000)  4 P 2.58, 2 S 2.70
P (0.0000, 0.5000, 0.5000)  2 Tl 2.58
P (0.5000, 0.0000, 0.5000)  2 Tl 2.58
S (0.5000, 0.5000, 0.0000)  2 Tl 2.70

Values from the calculation:
Volume, Å³/f.u.: 143.3
Mass density, Mg/m³: 5.05
DOS at the Fermi energy, states/eV per cell: 5.6
Offset from the most stable computed form, meV/atom: 0
Space-group type: P4/mmm (123)
Magnetization, μB per atom: 0.0000
Raw formation energy, eV/atom: 0.128

***

# 2
The following is a PBE calculation of a geometry-optimized BaTlPS2 structure, from Alexandria via LeMat-Bulk.

abc: 5.3228 5.3228 5.0666
angles: 90.00 90.00 90.00
With the nearest neighbours (Å) after each atom.
Sites, in units of the cell vectors:
Ba (0.0000, 0.0000, 0.0000)  8 S 3.67, 4 P 3.76
Tl (0.5000, 0.5000, 0.5000)  2 P 2.53, 4 S 2.66
P (0.5000, 0.5000, 0.0000)  2 Tl 2.53
S (0.0000, 0.5000, 0.5000)  2 Tl 2.66
S (0.5000, 0.0000, 0.5000)  2 Tl 2.66

Values from the calculation:
Volume, Å³/f.u.: 143.5
Mass density, Mg/m³: 5.05
DOS at the Fermi energy, states/eV per cell: 4.1
Offset from the most stable computed form, meV/atom: 0
Space-group type: P4/mmm (123)
Magnetization, μB per atom: 0.2252
Raw formation energy, eV/atom: -0.208

***

- Which of these has the highest magnetization?
  BaTlPS2

***

- Among the records above, which one has the highest raw formation energy?
  BaTlP2S